No. 1
! SmB4Pt12, relaxed, DFT GGA-PBE; values from VASP
! VASP energy = -6.453 eV per atom
! crystal system = cubic
! calculated volume = 15.02 Å³/atom
! calculated formation energy = -340 meV per atom
! Fermi-level density of states = 0.312 states/eV/atom
&SYSTEM
  ibrav = 0, nat = 17, ntyp = 3
/
ATOMIC_SPECIES
Sm 150.36 Sm.upf
B 10.81 B.upf
Pt 195.08 Pt.upf
CELL_PARAMETERS angstrom
-3.9964 3.9964 3.9964
3.9964 -3.9964 3.9964
3.9964 3.9964 -3.9964
ATOMIC_POSITIONS crystal
Sm 0.0000 0.0000 0.0000
B 0.0000 0.0000 0.5000
B 0.0000 0.5000 0.0000
B 0.5000 0.0000 0.0000
B 0.5000 0.5000 0.5000
Pt 0.1434 0.8193 0.3241
Pt 0.1807 0.3241 0.5048
Pt 0.1807 0.6759 0.8566
Pt 0.3241 0.1434 0.8193
Pt 0.3241 0.5048 0.1807
Pt 0.4952 0.8193 0.6759
Pt 0.5048 0.1807 0.3241
Pt 0.6759 0.4952 0.8193
Pt 0.6759 0.8566 0.1807
Pt 0.8193 0.3241 0.1434
Pt 0.8193 0.6759 0.4952
Pt 0.8566 0.1807 0.6759

=====

No. 2
! Eu2AgBi, relaxed, DFT GGA-PBE; values from VASP
! VASP energy = -7.448 eV per atom
! crystal system = cubic
! calculated volume = 30.38 Å³/atom
! calculated formation energy = -627 meV per atom
! Fermi-level density of states = 0.108 states/eV/atom
&SYSTEM
  ibrav = 0, nat = 4, ntyp = 3
/
ATOMIC_SPECIES
Eu 151.96 Eu.upf
Ag 107.87 Ag.upf
Bi 208.98 Bi.upf
CELL_PARAMETERS angstrom
0.0000 3.9314 3.9314
3.9314 0.0000 3.9314
3.9314 3.9314 0.0000
ATOMIC_POSITIONS crystal
Eu 0.2500 0.2500 0.2500
Eu 0.7500 0.7500 0.7500
Ag 0.0000 0.0000 0.0000
Bi 0.5000 0.5000 0.5000

=====

What did the second record say?
! Eu2AgBi, relaxed, DFT GGA-PBE; values from VASP
! VASP energy = -7.448 eV per atom
! crystal system = cubic
! calculated volume = 30.38 Å³/atom
! calculated formation energy = -627 meV per atom
! Fermi-level density of states = 0.108 states/eV/atom
&SYSTEM
  ibrav = 0, nat = 4, ntyp = 3
/
ATOMIC_SPECIES
Eu 151.96 Eu.upf
Ag 107.87 Ag.upf
Bi 208.98 Bi.upf
CELL_PARAMETERS angstrom
0.0000 3.9314 3.9314
3.9314 0.0000 3.9314
3.9314 3.9314 0.0000
ATOMIC_POSITIONS crystal
Eu 0.2500 0.2500 0.2500
Eu 0.7500 0.7500 0.7500
Ag 0.0000 0.0000 0.0000
Bi 0.5000 0.5000 0.5000

=====

Question: Look up the Fermi-level density of states of the first one.
Answer: 0.312 states/eV/atom

=====

Question: Number 2 is which compound?
Answer: Eu2AgBi